[1]
The following is a DFT calculation (PBE) of TbHoSb2O8 after structural relaxation.

abc: 5.2576 5.2576 11.2070
angles: 90.00 90.00 90.00
Last column: nearest neighbours and their distance in Å.
Space group I-4 (No. 82)
Unique sites:
Tb: 0.0000 0.0000 0.0000 x2  8 O 2.34-2.42
Ho: 0.0000 0.5000 0.7500 x2  8 O 2.33-2.41
Sb: 0.0000 0.0000 0.5000 x2  4 O 1.93
Sb: 0.0000 0.5000 0.2500 x2  4 O 1.93
O: 0.1814 0.2543 0.5898 x8  1 Sb 1.93
O: 0.1841 0.7540 0.1613 x8  1 Sb 1.93

Its uncorrected formation energy is -2351 meV/atom.

***

[2]
The following is a DFT calculation (PBE) of TbHoSbO2 after structural relaxation.

abc: 3.8563 3.8563 13.3609
angles: 90.00 90.00 90.00
Last column: nearest neighbours and their distance in Å.
Space group I4mm (No. 107)
Unique sites:
Tb: 0.0000 0.0000 0.0000 x2  4 O 2.24
Ho: 0.0000 0.0000 0.3318 x2  4 O 2.22
Sb: 0.0000 0.0000 0.6663 x2  4 Ho 3.51, 4 Tb 3.52, 8 O 3.83-3.88, 4 Sb 3.86
O: 0.0000 0.5000 0.4142 x4  2 Ho 2.22, 2 Tb 2.24

Its uncorrected formation energy is -2719 meV/atom.

***

[3]
The following is a DFT calculation (PBE) of HoTiSbO6 after structural relaxation.

abc: 5.2150 5.2150 9.7450
angles: 90.00 90.00 120.00
Last column: nearest neighbours and their distance in Å.
Space group P-31c (No. 163)
Unique sites:
Ho: 0.0000 0.0000 0.0000 x2  6 O 2.31
Ti: 0.3333 0.6667 0.2500 x2  6 O 1.99
Sb: 0.3333 0.6667 0.7500 x2  6 O 2.01
O: 0.0031 0.3613 0.1383 x12  1 Ti 1.99, 1 Sb 2.01

Its uncorrected formation energy is -2598 meV/atom.

***

[4]
The following is a DFT calculation (PBE) of Ho2Tl2SbO6 after structural relaxation.

abc: 5.9289 10.2393 6.8859
angles: 90.00 105.59 90.00
Last column: nearest neighbours and their distance in Å.
Space group C2/m (No. 12)
Unique sites:
Ho: 0.0000 0.1656 0.0000 x4  6 O 2.29-2.30
Tl: 0.0000 0.3349 0.5000 x4  6 O 2.91-3.08
Sb: 0.0000 0.5000 0.0000 x2  6 O 2.16-2.17
O: 0.2077 0.3407 0.1625 x8  1 Sb 2.17, 2 Ho 2.29-2.30
O: 0.2362 0.0000 0.1631 x4  1 Sb 2.16, 2 Ho 2.29

Its uncorrected formation energy is -2042 meV/atom.